Run 1
This record from Alexandria describes a relaxed TcAs2O2 crystal. The functional is PBE-GGA.

Computed properties:
Space group: I4/mmm, No. 139
Magnetic moment in μB/cell: 1.68

Lattice parameters (Å, degrees): 4.5521 4.5521 6.7773 90.00 90.00 90.00
Element x y z (fractional)
Tc  0.0000  0.0000  0.0000
Tc  0.5000  0.5000  0.5000
As  0.0000  0.5000  0.2500
As  0.0000  0.5000  0.7500
As  0.5000  0.0000  0.2500
As  0.5000  0.0000  0.7500
O  0.0000  0.0000  0.2998
O  0.0000  0.0000  0.7002
O  0.5000  0.5000  0.2002
O  0.5000  0.5000  0.7998


Run 2
This record from Alexandria describes a relaxed TcAs2O2 crystal. The functional is PBE-GGA.

Computed properties:
Space group: P4/mmm, No. 123
Magnetic moment in μB/cell: 0.00

Lattice parameters (Å, degrees): 3.8801 3.8801 5.0202 90.00 90.00 90.00
Element x y z (fractional)
Tc  0.0000  0.0000  0.0000
As  0.0000  0.5000  0.5000
As  0.5000  0.0000  0.5000
O  0.0000  0.5000  0.0000
O  0.5000  0.0000  0.0000


What should be chosen as the least stable of them? Choose run 1.


Run 1
This record from Alexandria describes a relaxed TeAsO4 crystal. The functional is PBE-GGA.

Computed properties:
Space group: P2_1/c, No. 14
Magnetic moment in μB/cell: 0.00

Lattice parameters (Å, degrees): 5.8496 4.9114 5.8374 90.00 111.79 90.00
Element x y z (fractional)
Te  0.0000  0.0000  0.0000
Te  0.0000  0.5000  0.5000
As  0.5000  0.0000  0.5000
As  0.5000  0.5000  0.0000
O  0.1654  0.1788  0.3671
O  0.1654  0.3212  0.8671
O  0.3626  0.7108  0.6690
O  0.3626  0.7892  0.1690
O  0.6374  0.2108  0.8310
O  0.6374  0.2892  0.3310
O  0.8346  0.6788  0.1329
O  0.8346  0.8212  0.6329


Run 2
This record from Alexandria describes a relaxed TeAsO4 crystal. The functional is PBE-GGA.

Computed properties:
Space group: C2/c, No. 15
Magnetic moment in μB/cell: 0.00

Lattice parameters (Å, degrees): 7.4916 7.4916 4.5777 106.10 106.10 122.29
Element x y z (fractional)
Te  0.1539  0.8461  0.7500
Te  0.8461  0.1539  0.2500
As  0.3556  0.6444  0.2500
As  0.6444  0.3556  0.7500
O  0.1463  0.5971  0.8651
O  0.2050  0.3624  0.2075
O  0.3624  0.2050  0.7075
O  0.4029  0.8537  0.6349
O  0.5971  0.1463  0.3651
O  0.6376  0.7950  0.2925
O  0.7950  0.6376  0.7925
O  0.8537  0.4029  0.1349


What should be chosen as the least stable of them? Choose run 1.


Run 1
This record from Alexandria describes a relaxed Te3AsO crystal. The functional is PBE-GGA.

Computed properties:
Space group: Pm-3m, No. 221
Magnetic moment in μB/cell: 0.00

Lattice parameters (Å, degrees): 5.3396 5.3396 5.3396 90.00 90.00 90.00
Element x y z (fractional)
Te  0.0000  0.0000  0.5000
Te  0.0000  0.5000  0.0000
Te  0.5000  0.0000  0.0000
As  0.0000  0.0000  0.0000
O  0.5000  0.5000  0.5000


Run 2
This record from Alexandria describes a relaxed Te3AsO crystal. The functional is PBE-GGA.

Computed properties:
Space group: Pm-3m, No. 221
Magnetic moment in μB/cell: 0.00

Lattice parameters (Å, degrees): 4.8333 4.8333 4.8333 90.00 90.00 90.00
Element x y z (fractional)
Te  0.0000  0.0000  0.5000
Te  0.0000  0.5000  0.0000
Te  0.5000  0.0000  0.0000
As  0.5000  0.5000  0.5000
O  0.0000  0.0000  0.0000


What should be chosen as the least stable of them? Choose run 1.


Run 1
This record from Alexandria describes a relaxed ThAsO crystal. The functional is PBE-GGA.

Computed properties:
Space group: F-43m, No. 216
Magnetic moment in μB/cell: 4.06

Lattice parameters (Å, degrees): 6.4668 6.4668 6.4668 90.00 90.00 90.00
Element x y z (fractional)
Th  0.0000  0.0000  0.0000
Th  0.0000  0.5000  0.5000
Th  0.5000  0.0000  0.5000
Th  0.5000  0.5000  0.0000
As  0.2500  0.2500  0.7500
As  0.2500  0.7500  0.2500
As  0.7500  0.2500  0.2500
As  0.7500  0.7500  0.7500
O  0.2500  0.2500  0.2500
O  0.2500  0.7500  0.7500
O  0.7500  0.2500  0.7500
O  0.7500  0.7500  0.2500


Run 2
This record from Alexandria describes a relaxed ThAsO crystal. The functional is PBE-GGA.

Computed properties:
Space group: C2/m, No. 12
Magnetic moment in μB/cell: 0.00

Lattice parameters (Å, degrees): 18.3448 3.8166 5.4502 90.00 95.23 90.00
Element x y z (fractional)
Th  0.1501  0.0000  0.3054
Th  0.3499  0.5000  0.6946
Th  0.6501  0.5000  0.3054
Th  0.8499  0.0000  0.6946
As  0.2214  0.0000  0.8233
As  0.2786  0.5000  0.1767
As  0.7214  0.5000  0.8233
As  0.7786  0.0000  0.1767
O  0.0942  0.5000  0.2812
O  0.4058  0.0000  0.7188
O  0.5942  0.0000  0.2812
O  0.9058  0.5000  0.7188


What should be chosen as the least stable of them? Choose run 1.


Run 1
This record from Alexandria describes a relaxed TiAs3O crystal. The functional is PBE-GGA.

Computed properties:
Space group: Pm-3m, No. 221
Magnetic moment in μB/cell: 0.00

Lattice parameters (Å, degrees): 4.7831 4.7831 4.7831 90.00 90.00 90.00
Element x y z (fractional)
Ti  0.0000  0.0000  0.0000
As  0.0000  0.0000  0.5000
As  0.0000  0.5000  0.0000
As  0.5000  0.0000  0.0000
O  0.5000  0.5000  0.5000


Run 2
This record from Alexandria describes a relaxed TiAs3O crystal. The functional is PBE-GGA.

Computed properties:
Space group: Pm-3m, No. 221
Magnetic moment in μB/cell: 0.11

Lattice parameters (Å, degrees): 4.3381 4.3381 4.3381 90.00 90.00 90.00
Element x y z (fractional)
Ti  0.0000  0.0000  0.0000
As  0.0000  0.5000  0.5000
As  0.5000  0.0000  0.5000
As  0.5000  0.5000  0.0000
O  0.5000  0.5000  0.5000


What should be chosen as the least stable of them? Choose run 1.


Run 1
This record from Alexandria describes a relaxed TiTlAsO5 crystal. The functional is PBE-GGA.

Computed properties:
Space group: Pna2_1, No. 33
Magnetic moment in μB/cell: 0.00

Lattice parameters (Å, degrees): 13.4617 6.7545 10.9330 90.00 90.00 90.00
Element x y z (fractional)
Ti  0.1300  0.0079  0.0000
Ti  0.2433  0.2698  0.7460
Ti  0.2567  0.7698  0.2460
Ti  0.3700  0.5079  0.5000
Ti  0.6300  0.4921  0.0000
Ti  0.7433  0.2302  0.7460
Ti  0.7567  0.7302  0.2460
Ti  0.8700  0.9921  0.5000
Tl  0.1036  0.7045  0.5681
Tl  0.1186  0.2876  0.3241
Tl  0.3814  0.7876  0.8241
Tl  0.3964  0.2045  0.0681
Tl  0.6036  0.7955  0.5681
Tl  0.6186  0.2124  0.3241
Tl  0.8814  0.7124  0.8241
Tl  0.8964  0.2955  0.0681
As  0.0032  0.8331  0.2572
As  0.1812  0.5115  0.0072
As  0.3188  0.0115  0.5072
As  0.4968  0.3331  0.7572
As  0.5032  0.6669  0.2572
As  0.6812  0.9885  0.0072
As  0.8188  0.4885  0.5072
As  0.9968  0.1669  0.7572
O  0.0077  0.0423  0.8948
O  0.0155  0.0046  0.1437
O  0.0978  0.3205  0.7327
O  0.1074  0.7127  0.9777
O  0.1086  0.6898  0.2732
O  0.1116  0.3078  0.0461
O  0.2150  0.0655  0.8823
O  0.2206  0.9516  0.1320
O  0.2369  0.0481  0.6274
O  0.2442  0.9691  0.3815
O  0.2558  0.4691  0.8815
O  0.2631  0.5481  0.1274
O  0.2794  0.4516  0.6320
O  0.2850  0.5655  0.3823
O  0.3884  0.8078  0.5461
O  0.3914  0.1898  0.7732
O  0.3926  0.2127  0.4777
O  0.4022  0.8205  0.2327
O  0.4845  0.5046  0.6437
O  0.4923  0.5423  0.3948
O  0.5077  0.4577  0.8948
O  0.5155  0.4954  0.1437
O  0.5978  0.1795  0.7327
O  0.6074  0.7873  0.9777
O  0.6086  0.8102  0.2732
O  0.6116  0.1922  0.0461
O  0.7150  0.4345  0.8823
O  0.7206  0.5484  0.1320
O  0.7369  0.4519  0.6274
O  0.7442  0.5309  0.3815
O  0.7558  0.0309  0.8815
O  0.7631  0.9519  0.1274
O  0.7794  0.0484  0.6320
O  0.7850  0.9345  0.3823
O  0.8884  0.6922  0.5461
O  0.8914  0.3102  0.7732
O  0.8926  0.2873  0.4777
O  0.9022  0.6795  0.2327
O  0.9845  0.9954  0.6437
O  0.9923  0.9577  0.3948


Run 2
This record from Alexandria describes a relaxed TiTlAsO5 crystal. The functional is PBE-GGA.

Computed properties:
Space group: C2/c, No. 15
Magnetic moment in μB/cell: 0.00

Lattice parameters (Å, degrees): 5.9358 5.9358 7.3772 105.13 105.13 105.30
Element x y z (fractional)
Ti  0.0000  0.0000  0.0000
Ti  0.0000  0.0000  0.5000
Tl  0.3282  0.6718  0.7500
Tl  0.6718  0.3282  0.2500
As  0.3082  0.6918  0.2500
As  0.6918  0.3082  0.7500
O  0.0473  0.9527  0.7500
O  0.1174  0.7160  0.3921
O  0.2165  0.3845  0.0967
O  0.2840  0.8826  0.1079
O  0.3845  0.2165  0.5967
O  0.6155  0.7835  0.4033
O  0.7160  0.1174  0.8921
O  0.7835  0.6155  0.9033
O  0.8826  0.2840  0.6079
O  0.9527  0.0473  0.2500


What should be chosen as the least stable of them? Choose run 2.